8
Lattice="4.358 0.000 0.000 0.000 4.358 0.000 0.000 0.000 9.211" Properties=species:S:1:pos:R:3 comment="PBE+U SmCoAsO, relaxed" sg=P4/nmm relative_energy_mev_per_atom=1510 pbc="T T T"
Sm 1.089 3.268 0.000
Sm 3.268 1.089 0.000
Co 1.089 1.089 4.421
Co 3.268 3.268 4.790
As 1.089 1.089 1.817
As 3.268 3.268 7.394
O 1.089 3.268 4.605
O 3.268 1.089 4.605